(1)
Below is a geometry-optimized CdAg2Pt structure, with properties calculated at the GGA-PBEsol level.

Cell: 4.914 4.914 4.914 Å, 130.90 130.90 71.98°
Atoms (fractional coordinates):
1 Cd 0.000 0.000 0.000
2 Ag 0.250 0.750 0.500
3 Ag 0.500 0.500 0.000
4 Pt 0.750 0.250 0.500

Computed properties:
size of the total moment: 0.00 μB/cell
total energy: -3.821 eV per atom
crystal system: tetragonal
D(E_F): 1.0 states/eV/f.u.
theoretical density: 13.11 Mg/m³
energy of formation from the pure elements: -48 kJ/mol of formula units

***

(2)
Below is a geometry-optimized Cd2AgPt structure, with properties calculated at the GGA-PBEsol level.

Cell: 4.801 4.801 4.801 Å, 126.46 126.46 79.13°
Atoms (fractional coordinates):
1 Cd 0.250 0.750 0.500
2 Cd 0.750 0.250 0.500
3 Ag 0.000 0.000 0.000
4 Pt 0.500 0.500 0.000

Computed properties:
size of the total moment: 0.00 μB/cell
total energy: -3.367 eV per atom
crystal system: tetragonal
D(E_F): 1.5 states/eV/f.u.
theoretical density: 12.66 Mg/m³
energy of formation from the pure elements: -77 kJ/mol of formula units

***

(3)
Below is a geometry-optimized CdAg2Pt structure, with properties calculated at the GGA-PBEsol level.

Cell: 5.566 5.566 2.862 Å, 103.83 103.83 120.36°
Atoms (fractional coordinates):
1 Cd 0.000 0.000 0.000
2 Ag 0.000 0.500 0.500
3 Ag 0.500 0.000 0.500
4 Pt 0.500 0.500 0.000

Computed properties:
size of the total moment: 0.00 μB/cell
total energy: -3.769 eV per atom
crystal system: monoclinic
D(E_F): 1.1 states/eV/f.u.
theoretical density: 12.95 Mg/m³
energy of formation from the pure elements: -28 kJ/mol of formula units

***

(4)
Below is a geometry-optimized CdAgPt2 structure, with properties calculated at the GGA-PBEsol level.

Cell: 4.857 4.857 2.875 Å, 90.00 90.00 108.19°
Atoms (fractional coordinates):
1 Cd 0.000 0.000 0.000
2 Ag 0.500 0.500 0.000
3 Pt 0.000 0.500 0.500
4 Pt 0.500 0.000 0.500

Computed properties:
size of the total moment: 0.00 μB/cell
total energy: -4.743 eV per atom
crystal system: orthorhombic
D(E_F): 1.6 states/eV/f.u.
theoretical density: 15.73 Mg/m³
energy of formation from the pure elements: -52 kJ/mol of formula units

***

(5)
Below is a geometry-optimized CdAg2Pt structure, with properties calculated at the GGA-PBEsol level.

Cell: 4.928 4.928 4.947 Å, 100.19 100.19 34.25°
Atoms (fractional coordinates):
1 Cd 0.000 0.000 0.000
2 Ag 0.245 0.245 0.729
3 Ag 0.494 0.494 0.493
4 Pt 0.747 0.747 0.233

Computed properties:
size of the total moment: 0.00 μB/cell
total energy: -3.783 eV per atom
crystal system: monoclinic
D(E_F): 1.2 states/eV/f.u.
theoretical density: 13.08 Mg/m³
energy of formation from the pure elements: -34 kJ/mol of formula units

***

(6)
Below is a geometry-optimized CdAg2Pt structure, with properties calculated at the GGA-PBEsol level.

Cell: 4.994 4.994 4.994 Å, 132.47 132.47 69.50°
Atoms (fractional coordinates):
1 Cd 0.000 0.000 0.000
2 Ag 0.250 0.750 0.500
3 Ag 0.750 0.250 0.500
4 Pt 0.500 0.500 0.000

Computed properties:
size of the total moment: 0.00 μB/cell
total energy: -3.800 eV per atom
crystal system: tetragonal
D(E_F): 1.1 states/eV/f.u.
theoretical density: 13.07 Mg/m³
energy of formation from the pure elements: -40 kJ/mol of formula units

***

(7)
Below is a geometry-optimized Cd2AgPt structure, with properties calculated at the GGA-PBEsol level.

Cell: 2.931 3.969 5.934 Å, 90.00 90.00 90.00°
Atoms (fractional coordinates):
1 Cd 0.000 0.000 0.244
2 Cd 0.000 0.000 0.756
3 Ag 0.500 0.500 0.500
4 Pt 0.500 0.500 0.000

Computed properties:
size of the total moment: 0.00 μB/cell
total energy: -3.357 eV per atom
crystal system: orthorhombic
D(E_F): 1.5 states/eV/f.u.
theoretical density: 12.70 Mg/m³
energy of formation from the pure elements: -73 kJ/mol of formula units

***

(8)
Below is a geometry-optimized CdAgPt2 structure, with properties calculated at the GGA-PBEsol level.

Cell: 4.939 4.939 4.867 Å, 99.48 99.48 33.27°
Atoms (fractional coordinates):
1 Cd 0.000 0.000 0.000
2 Ag 0.500 0.500 0.500
3 Pt 0.251 0.251 0.748
4 Pt 0.749 0.749 0.252

Computed properties:
size of the total moment: 0.00 μB/cell
total energy: -4.749 eV per atom
crystal system: monoclinic
D(E_F): 1.7 states/eV/f.u.
theoretical density: 15.80 Mg/m³
energy of formation from the pure elements: -54 kJ/mol of formula units

***

(9)
Below is a geometry-optimized CdAg2Pt structure, with properties calculated at the GGA-PBEsol level.

Cell: 4.006 4.006 4.119 Å, 90.00 90.00 90.00°
Atoms (fractional coordinates):
1 Cd 0.000 0.000 0.000
2 Ag 0.000 0.500 0.500
3 Ag 0.500 0.000 0.500
4 Pt 0.500 0.500 0.000

Computed properties:
size of the total moment: 0.00 μB/cell
total energy: -3.836 eV per atom
crystal system: tetragonal
D(E_F): 0.9 states/eV/f.u.
theoretical density: 13.14 Mg/m³
energy of formation from the pure elements: -54 kJ/mol of formula units

***

(10)
Below is a geometry-optimized CdAgPt2 structure, with properties calculated at the GGA-PBEsol level.

Cell: 4.896 4.896 4.896 Å, 131.50 131.50 71.01°
Atoms (fractional coordinates):
1 Cd 0.000 0.000 0.000
2 Ag 0.500 0.500 0.000
3 Pt 0.250 0.750 0.500
4 Pt 0.750 0.250 0.500

Computed properties:
size of the total moment: 0.00 μB/cell
total energy: -4.756 eV per atom
crystal system: tetragonal
D(E_F): 1.5 states/eV/f.u.
theoretical density: 15.73 Mg/m³
energy of formation from the pure elements: -57 kJ/mol of formula units

***

(11)
Below is a geometry-optimized CdAg2Pt structure, with properties calculated at the GGA-PBEsol level.

Cell: 2.856 4.101 5.670 Å, 90.00 90.00 90.00°
Atoms (fractional coordinates):
1 Cd 0.000 0.000 0.000
2 Ag 0.500 0.500 0.256
3 Ag 0.500 0.500 0.744
4 Pt 0.000 0.000 0.500

Computed properties:
size of the total moment: 0.00 μB/cell
total energy: -3.767 eV per atom
crystal system: orthorhombic
D(E_F): 1.3 states/eV/f.u.
theoretical density: 13.08 Mg/m³
energy of formation from the pure elements: -28 kJ/mol of formula units

***

(12)
Below is a geometry-optimized Cd2AgPt structure, with properties calculated at the GGA-PBEsol level.

Cell: 3.487 3.487 5.812 Å, 90.00 90.00 90.00°
Atoms (fractional coordinates):
1 Cd 0.000 0.000 0.000
2 Cd 0.500 0.500 0.285
3 Ag 0.500 0.500 0.762
4 Pt 0.000 0.000 0.508

Computed properties:
size of the total moment: 0.00 μB/cell
total energy: -3.245 eV per atom
crystal system: tetragonal
D(E_F): 1.3 states/eV/f.u.
theoretical density: 12.40 Mg/m³
energy of formation from the pure elements: -30 kJ/mol of formula units